(1)
Below is an optimized crystal structure of Cd2Co2Si, with properties calculated at the PBE level.

Lattice parameters (Å, degrees): 5.8526 5.8526 4.4210 90.00 90.00 90.00
Closest atoms and distances in Å follow each position.
Fractional coordinates of all 10 atoms:
Cd1 0.1694 0.6694 0.5000  6 Co 2.70-2.88, 1 Cd 2.80
Cd2 0.6694 0.8306 0.5000  6 Co 2.70-2.88, 1 Cd 2.80
Cd3 0.8306 0.3306 0.5000  6 Co 2.70-2.88, 1 Cd 2.80
Cd4 0.3306 0.1694 0.5000  6 Co 2.70-2.88, 1 Cd 2.80
Si1 0.0000 0.0000 0.0000  4 Co 2.25
Si2 0.5000 0.5000 0.0000  4 Co 2.25
Co1 0.6437 0.1437 0.0000  2 Si 2.25, 1 Co 2.38
Co2 0.3563 0.8563 0.0000  2 Si 2.25, 1 Co 2.38
Co3 0.1437 0.3563 0.0000  2 Si 2.25, 1 Co 2.38
Co4 0.8563 0.6437 0.0000  2 Si 2.25, 1 Co 2.38

Formation energy (no corrections) = -14 meV/atom
Calculated density = 8.13 g cm⁻³
Symmetry = P4/mbm, No. 127
Total energy = -43.1 eV/cell
Size of the total moment = 0.00 μB per cell
Calculated volume = 151.4 Å³/cell

***

(2)
Below is an optimized crystal structure of DyErScIn, with properties calculated at the PBE level.

Lattice parameters (Å, degrees): 5.3232 5.3232 5.3232 60.00 60.00 60.00
Closest atoms and distances in Å follow each position.
Fractional coordinates of all 4 atoms:
Sc1 0.0000 0.0000 0.0000  4 Er 3.26, 4 Dy 3.26
Dy1 0.2500 0.2500 0.2500  4 In 3.26, 4 Sc 3.26
In1 0.5000 0.5000 0.5000  4 Dy 3.26, 4 Er 3.26
Er1 0.7500 0.7500 0.7500  4 In 3.26, 4 Sc 3.26

Energy relative to the lowest polymorph listed for this composition = 105.7 meV per atom
Calculated density = 7.62 g cm⁻³
Symmetry = F-43m, No. 216
Total energy = -18.8 eV/cell
E_form = -153.2 meV/atom
Size of the total moment = 0.85 μB per cell
Calculated volume = 106.7 Å³/cell

***

(3)
Below is an optimized crystal structure of Pm2Co4GeP3, with properties calculated at the PBE level.

Lattice parameters (Å, degrees): 3.9908 3.9908 9.3264 90.00 90.00 90.00
Closest atoms and distances in Å follow each position.
Fractional coordinates of all 10 atoms:
Pm1 0.5000 0.0000 0.2503  6 P 3.04-3.07, 8 Co 3.05-3.07, 2 Ge 3.07
Pm2 0.0000 0.5000 0.7497  6 P 3.04-3.07, 8 Co 3.05-3.07, 2 Ge 3.07
P1 0.0000 0.5000 0.1284  5 Co 2.29-2.33
P2 0.5000 0.0000 0.8716  5 Co 2.29-2.33
P3 0.0000 0.0000 0.5000  4 Co 2.32
Co1 0.5000 0.5000 0.0000  4 P 2.33
Co2 0.0000 0.5000 0.3735  3 P 2.29-2.32, 2 Ge 2.32
Co3 0.0000 0.0000 0.0000  4 P 2.33
Co4 0.5000 0.0000 0.6265  3 P 2.29-2.32, 2 Ge 2.32
Ge1 0.5000 0.5000 0.5000  4 Co 2.32

Calculated density = 7.73 g cm⁻³
Symmetry = P-4m2, No. 115
Total energy = -67.5 eV/cell
E_form = -868.7 meV/atom
Size of the total moment = 1.12 μB per cell
Calculated volume = 148.5 Å³/cell

***

(4)
Below is an optimized crystal structure of TcGeRu2, with properties calculated at the PBE level.

Lattice parameters (Å, degrees): 2.8837 2.8837 6.7884 90.00 90.00 90.00
Closest atoms and distances in Å follow each position.
Fractional coordinates of all 4 atoms:
Tc1 0.5000 0.5000 0.5000  8 Ru 2.73, 4 Tc 2.88
Ru1 0.0000 0.0000 0.7667  4 Ge 2.58, 4 Tc 2.73, 4 Ru 2.88
Ru2 0.0000 0.0000 0.2333  4 Ge 2.58, 4 Tc 2.73, 4 Ru 2.88
Ge1 0.5000 0.5000 0.0000  8 Ru 2.58, 4 Ge 2.88

Calculated density = 10.97 g cm⁻³
Symmetry = P4/mmm, No. 123
Total energy = -33.8 eV/cell
E_form = -68.1 meV/atom
Size of the total moment = 0.00 μB per cell
Calculated volume = 56.4 Å³/cell

***

(5)
Below is an optimized crystal structure of Te2IrSe, with properties calculated at the PBE level.

Lattice parameters (Å, degrees): 4.0269 4.0269 7.2988 85.32 85.32 58.22
Closest atoms and distances in Å follow each position.
Fractional coordinates of all 4 atoms:
Te1 0.4373 0.4373 0.5608  3 Ir 2.67-2.70, 1 Se 2.73
Te2 0.0627 0.0627 0.9392  3 Ir 2.67-2.70, 1 Se 2.73
Se1 0.2500 0.2500 0.2500  2 Te 2.73
Ir1 0.7500 0.7500 0.7500  6 Te 2.67-2.70

Formation energy (no corrections) = -23 meV/atom
Calculated density = 8.73 g cm⁻³
Symmetry = C2/m, No. 12
Total energy = -18.7 eV/cell
Size of the total moment = 0.00 μB per cell
Calculated volume = 100.2 Å³/cell

***

(6)
Below is an optimized crystal structure of LaTbO4, with properties calculated at the PBE level.

Lattice parameters (Å, degrees): 4.0076 3.9058 6.5151 96.78 90.00 120.87
Closest atoms and distances in Å follow each position.
Fractional coordinates of all 6 atoms:
Tb1 0.0548 0.1096 0.0206  7 O 2.30-2.52
O1 0.4004 0.8008 0.0966  3 Tb 2.30-2.34, 1 La 2.48
O2 0.8280 0.6560 0.6921  1 O 1.51
O3 0.6677 0.3353 0.8330  1 O 1.51
O4 0.0976 0.1951 0.3766  1 Tb 2.30, 3 La 2.37-2.38
La1 0.4516 0.9032 0.4810  7 O 2.37-2.63

Formation energy (no corrections) = -2931 meV/atom
Calculated density = 6.93 g cm⁻³
Symmetry = Cm, No. 8
Total energy = -47.0 eV/cell
Size of the total moment = 0.00 μB per cell
Calculated volume = 86.7 Å³/cell

***

(7)
Below is an optimized crystal structure of Nb2CoPtC, with properties calculated at the PBE level.

Lattice parameters (Å, degrees): 4.3057 4.3057 3.7878 90.00 90.00 90.00
Closest atoms and distances in Å follow each position.
Fractional coordinates of all 5 atoms:
C1 0.0000 0.0000 0.0000  2 Co 1.89
Pt1 0.5000 0.5000 0.5000  8 Nb 2.87, 4 Co 3.04
Nb1 0.5000 0.0000 0.0000  2 C 2.15
Nb2 0.0000 0.5000 0.0000  2 C 2.15
Co1 0.0000 0.0000 0.5000  2 C 1.89

Calculated density = 10.68 g cm⁻³
Symmetry = P4/mmm, No. 123
Total energy = -44.1 eV/cell
E_form = -311.3 meV/atom
Size of the total moment = 1.09 μB per cell
Calculated volume = 70.2 Å³/cell

***

(8)
Below is an optimized crystal structure of YU2TcC4, with properties calculated at the PBE level.

Lattice parameters (Å, degrees): 3.5450 6.1009 11.3597 90.00 90.00 106.89
Closest atoms and distances in Å follow each position.
Fractional coordinates of all 16 atoms:
C1 0.7369 0.4738 0.8810  1 Tc 2.04, 1 U 2.27
C2 0.7369 0.4738 0.6190  1 Tc 2.04, 1 U 2.27
C3 0.2631 0.5262 0.3810  1 Tc 2.04, 1 U 2.27
C4 0.2631 0.5262 0.1190  1 Tc 2.04, 1 U 2.27
C5 0.0000 0.0000 0.0000  4 U 2.39
C6 0.0000 0.0000 0.5000  4 U 2.39
C7 0.5471 0.0941 0.2500  2 Tc 2.10
C8 0.4529 0.9059 0.7500  2 Tc 2.10
U1 0.3705 0.7411 0.5477  6 C 2.27-2.50
U2 0.6295 0.2589 0.4523  6 C 2.27-2.50
U3 0.6295 0.2589 0.0477  6 C 2.27-2.50
U4 0.3705 0.7411 0.9523  6 C 2.27-2.50
Tc1 0.8564 0.7128 0.7500  4 C 2.04-2.10
Tc2 0.1436 0.2872 0.2500  4 C 2.04-2.10
Y1 0.8817 0.7635 0.2500  6 C 2.62-2.70
Y2 0.1183 0.2365 0.7500  6 C 2.62-2.70

Calculated density = 10.04 g cm⁻³
Symmetry = Cmcm, No. 63
Total energy = -153.4 eV/cell
E_form = -49.7 meV/atom
Size of the total moment = 0.00 μB per cell
Calculated volume = 235.1 Å³/cell

***

(9)
Below is an optimized crystal structure of CeTcGe, with properties calculated at the PBE level.

Lattice parameters (Å, degrees): 4.4075 4.4076 6.5803 89.99 89.95 90.01
Closest atoms and distances in Å follow each position.
Fractional coordinates of all 6 atoms:
Tc1 0.2500 0.7500 0.0000  4 Ge 2.58
Tc2 0.7500 0.2500 0.0000  4 Ge 2.58
Ge1 0.7497 0.7499 0.2025  4 Tc 2.58
Ge2 0.2503 0.2501 0.7975  4 Tc 2.58
Ce1 0.2497 0.2500 0.3008  4 Tc 2.96, 6 Ge 3.18-3.31
Ce2 0.7503 0.7500 0.6992  4 Tc 2.96, 6 Ge 3.18-3.31

Energy relative to the lowest polymorph listed for this composition = 42.2 meV per atom
Calculated density = 8.07 g cm⁻³
Symmetry = P2_1/m, No. 11
Total energy = -44.8 eV/cell
E_form = -493.8 meV/atom
Size of the total moment = 1.20 μB per cell
Calculated volume = 127.8 Å³/cell

***

(10)
Below is an optimized crystal structure of Tb6ZnCo, with properties calculated at the PBE level.

Lattice parameters (Å, degrees): 4.9653 4.9654 9.2972 74.51 74.52 90.00
Closest atoms and distances in Å follow each position.
Fractional coordinates of all 8 atoms:
Zn1 0.5000 0.5000 0.0000  8 Tb 2.99
Tb1 0.4032 0.9029 0.1942  2 Co 2.99, 2 Zn 2.99, 1 Tb 3.34
Tb2 0.2513 0.2512 0.4977  12 Tb 3.51-3.63
Tb3 0.5968 0.0971 0.8058  2 Co 2.99, 2 Zn 2.99, 1 Tb 3.34
Tb4 0.7487 0.7488 0.5023  12 Tb 3.51-3.63
Tb5 0.9030 0.4029 0.1942  2 Zn 2.99, 2 Co 2.99, 1 Tb 3.34
Tb6 0.0970 0.5971 0.8058  2 Zn 2.99, 2 Co 2.99, 1 Tb 3.34
Co1 0.0000 0.0000 0.0000  8 Tb 2.99

Calculated density = 8.43 g cm⁻³
Symmetry = I4/mmm, No. 139
Total energy = -36.8 eV/cell
E_form = -73.8 meV/atom
Size of the total moment = 0.04 μB per cell
Calculated volume = 212.3 Å³/cell

***

(11)
Below is an optimized crystal structure of Cr2SnAs, with properties calculated at the PBE level.

Lattice parameters (Å, degrees): 4.4483 4.4483 4.4483 60.00 60.00 60.00
Closest atoms and distances in Å follow each position.
Fractional coordinates of all 4 atoms:
Cr1 0.2500 0.2500 0.2500  4 Sn 2.72, 4 As 2.72
Cr2 0.7500 0.7500 0.7500  4 Sn 2.72, 4 As 2.72
As1 0.0000 0.0000 0.0000  8 Cr 2.72
Sn1 0.5000 0.5000 0.5000  8 Cr 2.72

Calculated density = 7.94 g cm⁻³
Symmetry = Fm-3m, No. 225
Total energy = -26.3 eV/cell
E_form = 393.2 meV/atom
Size of the total moment = 3.11 μB per cell
Calculated volume = 62.2 Å³/cell

***

(12)
Below is an optimized crystal structure of HoIn3Ni, with properties calculated at the PBE level.

Lattice parameters (Å, degrees): 4.5597 4.6103 5.8854 113.06 90.00 90.00
Closest atoms and distances in Å follow each position.
Fractional coordinates of all 5 atoms:
Ni1 0.5000 0.3795 0.7590  6 In 2.66-2.79, 2 Ho 2.93
Ho1 0.5000 0.0465 0.0930  2 Ni 2.93, 9 In 3.13-3.25
In1 0.0000 0.5274 0.0547  2 Ni 2.79, 1 In 3.01
In2 0.0000 0.2495 0.4990  2 Ni 2.68
In3 0.5000 0.7572 0.5144  2 Ni 2.66

Energy relative to the lowest polymorph listed for this composition = 21.3 meV per atom
Calculated density = 8.29 g cm⁻³
Symmetry = Amm2, No. 38
Total energy = -20.1 eV/cell
E_form = -301.2 meV/atom
Size of the total moment = 0.00 μB per cell
Calculated volume = 113.8 Å³/cell